# 1
Here is crystalline Li7CuSn4 at its relaxed geometry from Alexandria. Energies are from PBE-GGA.

## Properties
Magnetization (μB per formula unit): 0.0
Symmetry: C2/m, No. 12
Energy of formation (eV/atom): -0.144
Density (g cm⁻³): 3.84

Cell: 7.162 7.162 9.895 Å, 125.04 125.04 39.08°
Fractional positions:
1 Li 0.000 0.000 0.000
2 Li 0.139 0.139 0.586
3 Li 0.286 0.286 0.140
4 Li 0.437 0.437 0.684
5 Li 0.563 0.563 0.316
6 Li 0.714 0.714 0.860
7 Li 0.861 0.861 0.414
8 Cu 0.500 0.500 0.000
9 Sn 0.066 0.066 0.796
10 Sn 0.202 0.202 0.353
11 Sn 0.798 0.798 0.647
12 Sn 0.934 0.934 0.204

=====

# 2
Here is crystalline Ba2Ga10Pb at its relaxed geometry from Alexandria. Energies are from PBE-GGA.

## Properties
Magnetization (μB per formula unit): 0.0
Symmetry: Pbam, No. 55
Energy of formation (eV/atom): -0.170
Density (g cm⁻³): 5.52

Cell: 6.135 18.902 6.112 Å, 90.00 90.00 90.00°
Fractional positions:
1 Ba 0.148 0.173 0.000
2 Ba 0.352 0.673 0.000
3 Ba 0.648 0.327 0.000
4 Ba 0.852 0.827 0.000
5 Ga 0.036 0.926 0.500
6 Ga 0.146 0.648 0.500
7 Ga 0.163 0.375 0.207
8 Ga 0.163 0.375 0.793
9 Ga 0.200 0.783 0.500
10 Ga 0.300 0.283 0.500
11 Ga 0.337 0.875 0.207
12 Ga 0.337 0.875 0.793
13 Ga 0.354 0.148 0.500
14 Ga 0.464 0.426 0.500
15 Ga 0.536 0.574 0.500
16 Ga 0.646 0.852 0.500
17 Ga 0.663 0.125 0.207
18 Ga 0.663 0.125 0.793
19 Ga 0.700 0.717 0.500
20 Ga 0.800 0.217 0.500
21 Ga 0.837 0.625 0.207
22 Ga 0.837 0.625 0.793
23 Ga 0.854 0.352 0.500
24 Ga 0.964 0.074 0.500
25 Pb 0.000 0.500 0.500
26 Pb 0.500 0.000 0.500

=====

# 3
Here is crystalline Ac5AgSn4 at its relaxed geometry from Alexandria. Energies are from PBE-GGA.

## Properties
Magnetization (μB per formula unit): 0.0
Symmetry: P4/mmm, No. 123
Energy of formation (eV/atom): -0.540
Density (g cm⁻³): 8.50

Cell: 3.931 3.931 21.728 Å, 90.00 90.00 90.00°
Fractional positions:
1 Ac 0.000 0.000 0.000
2 Ac 0.000 0.000 0.205
3 Ac 0.000 0.000 0.406
4 Ac 0.000 0.000 0.594
5 Ac 0.000 0.000 0.795
6 Ag 0.500 0.500 0.500
7 Sn 0.500 0.500 0.103
8 Sn 0.500 0.500 0.309
9 Sn 0.500 0.500 0.691
10 Sn 0.500 0.500 0.897

=====

# 4
Here is crystalline MnAlIn at its relaxed geometry from Alexandria. Energies are from PBE-GGA.

## Properties
Magnetization (μB per formula unit): 1.9
Symmetry: Imm2, No. 44
Energy relative to the lowest polymorph listed for this composition (eV/atom): 0.035
Energy of formation (eV/atom): 0.140
Density (g cm⁻³): 6.61

Cell: 5.254 5.254 5.254 Å, 147.36 140.53 52.12°
Fractional positions:
1 Mn 0.000 0.000 0.000
2 Al 0.616 0.616 0.000
3 In 0.317 0.317 0.000

=====

# 5
Here is crystalline Li2Sn2Pt at its relaxed geometry from Alexandria. Energies are from PBE-GGA.

## Properties
Magnetization (μB per formula unit): 0.0
Symmetry: P4/mbm, No. 127
Energy of formation (eV/atom): -0.397
Density (g cm⁻³): 7.22

Cell: 6.940 6.940 4.262 Å, 90.00 90.00 90.00°
Fractional positions:
1 Li 0.162 0.338 0.000
2 Li 0.338 0.838 0.000
3 Li 0.662 0.162 0.000
4 Li 0.838 0.662 0.000
5 Sn 0.147 0.647 0.500
6 Sn 0.353 0.147 0.500
7 Sn 0.647 0.853 0.500
8 Sn 0.853 0.353 0.500
9 Pt 0.000 0.000 0.500
10 Pt 0.500 0.500 0.500

=====

# 6
Here is crystalline Ce2Gd at its relaxed geometry from Alexandria. Energies are from PBE-GGA.

## Properties
Magnetization (μB per formula unit): 5.5
Symmetry: Fd-3m, No. 227
Energy relative to the lowest polymorph listed for this composition (eV/atom): 0.127
Energy of formation (eV/atom): 0.203
Density (g cm⁻³): 8.13

Cell: 6.322 6.322 6.322 Å, 60.00 60.00 60.00°
Fractional positions:
1 Ce 0.000 0.000 0.000
2 Ce 0.000 0.000 0.500
3 Ce 0.000 0.500 0.000
4 Ce 0.500 0.000 0.000
5 Gd 0.375 0.375 0.375
6 Gd 0.625 0.625 0.625

=====

# 7
Here is crystalline LiMg2Au2 at its relaxed geometry from Alexandria. Energies are from PBE-GGA.

## Properties
Magnetization (μB per formula unit): 0.0
Symmetry: P4/mbm, No. 127
Energy relative to the lowest polymorph listed for this composition (eV/atom): 0.032
Energy of formation (eV/atom): -0.483
Density (g cm⁻³): 7.84

Cell: 7.840 7.840 3.096 Å, 90.00 90.00 90.00°
Fractional positions:
1 Li 0.000 0.000 0.000
2 Li 0.500 0.500 0.000
3 Mg 0.136 0.364 0.000
4 Mg 0.364 0.864 0.000
5 Mg 0.636 0.136 0.000
6 Mg 0.864 0.636 0.000
7 Au 0.161 0.661 0.500
8 Au 0.339 0.161 0.500
9 Au 0.661 0.839 0.500
10 Au 0.839 0.339 0.500

=====

# 8
Here is crystalline Cs5Cd2Au5 at its relaxed geometry from Alexandria. Energies are from PBE-GGA.

## Properties
Magnetization (μB per formula unit): 0.0
Symmetry: C2/m, No. 12
Energy of formation (eV/atom): -0.255
Density (g cm⁻³): 6.45

Cell: 9.265 9.265 13.627 Å, 122.83 122.83 29.89°
Fractional positions:
1 Cs 0.000 0.000 0.000
2 Cs 0.315 0.315 0.408
3 Cs 0.363 0.363 0.167
4 Cs 0.637 0.637 0.833
5 Cs 0.685 0.685 0.592
6 Cd 0.395 0.395 0.724
7 Cd 0.605 0.605 0.276
8 Au 0.000 0.000 0.500
9 Au 0.054 0.054 0.342
10 Au 0.311 0.311 0.855
11 Au 0.689 0.689 0.145
12 Au 0.946 0.946 0.658

=====

> Look up the density of the third one.

8.50 g cm⁻³